(1)
# La3ZrV PBE relaxed
# excess energy over the best structure of this formula in the dataset = 0.0 meV per atom
# volume = 31.66 Å³ per atom
# formation energy = 3.49 eV/f.u.
data_La3ZrV
_space_group_name_H-M_alt 'P 1'
_space_group_IT_number 1
_cell_length_a 5.4094
_cell_length_b 5.4094
_cell_length_c 5.4094
_cell_angle_alpha 90.00
_cell_angle_beta 90.00
_cell_angle_gamma 90.00
loop_
_space_group_symop_operation_xyz
'x,y,z'
loop_
_atom_site_label
_atom_site_fract_x
_atom_site_fract_y
_atom_site_fract_z
_atom_site_occupancy
Zr1 0.5000 0.5000 0.5000 1
La1 0.0000 0.5000 0.0000 1
La2 0.0000 0.0000 0.5000 1
La3 0.5000 0.0000 0.0000 1
V1 0.0000 0.0000 0.0000 1

---

(2)
# SmSi3OsRh PBE relaxed
# volume = 19.68 Å³ per atom
# total DFT energy (no corrections) = -7.056 eV/atom
data_SmSi3OsRh
_space_group_name_H-M_alt 'P 1'
_space_group_IT_number 1
_cell_length_a 5.5698
_cell_length_b 6.1930
_cell_length_c 7.5145
_cell_angle_alpha 114.34
_cell_angle_beta 90.00
_cell_angle_gamma 90.00
loop_
_space_group_symop_operation_xyz
'x,y,z'
loop_
_atom_site_label
_atom_site_fract_x
_atom_site_fract_y
_atom_site_fract_z
_atom_site_occupancy
Si1 0.5000 0.7129 0.0000 1
Rh1 0.2500 0.3947 0.7894 1
Si2 0.7500 0.7682 0.5364 1
Sm1 0.2500 0.8131 0.6261 1
Si3 0.0000 0.7129 0.0000 1
Os1 0.2500 0.0675 0.1351 1
Os2 0.7500 0.9325 0.8649 1
Rh2 0.7500 0.6053 0.2106 1
Si4 0.2500 0.2318 0.4636 1
Sm2 0.7500 0.1869 0.3739 1
Si5 0.0000 0.2871 0.0000 1
Si6 0.5000 0.2871 0.0000 1

---

(3)
# Rb3Nd2HoS6 PBE relaxed
# volume = 29.05 Å³ per atom
# total DFT energy (no corrections) = -5.313 eV/atom
data_Rb3Nd2HoS6
_space_group_name_H-M_alt 'P 1'
_space_group_IT_number 1
_cell_length_a 7.2248
_cell_length_b 7.2248
_cell_length_c 8.0782
_cell_angle_alpha 98.58
_cell_angle_beta 98.58
_cell_angle_gamma 120.00
loop_
_space_group_symop_operation_xyz
'x,y,z'
loop_
_atom_site_label
_atom_site_fract_x
_atom_site_fract_y
_atom_site_fract_z
_atom_site_occupancy
Rb1 0.1678 0.8322 0.5000 1
Ho1 0.0000 0.0000 0.0000 1
S1 0.9350 0.6109 0.8049 1
Nd1 0.3335 0.6665 0.0000 1
Rb2 0.8322 0.1678 0.5000 1
S2 0.2588 0.2588 0.8046 1
S3 0.0650 0.3891 0.1951 1
S4 0.3891 0.0650 0.1951 1
S5 0.6109 0.9350 0.8049 1
S6 0.7412 0.7412 0.1954 1
Rb3 0.5000 0.5000 0.5000 1
Nd2 0.6665 0.3335 0.0000 1

---

(4)
# Rb2BeRe PBE relaxed
# volume = 49.65 Å³ per atom
# formation energy = 6.06 eV/f.u.
data_Rb2BeRe
_space_group_name_H-M_alt 'P 1'
_space_group_IT_number 1
_cell_length_a 13.4103
_cell_length_b 13.4103
_cell_length_c 9.7363
_cell_angle_alpha 46.47
_cell_angle_beta 46.47
_cell_angle_gamma 90.00
loop_
_space_group_symop_operation_xyz
'x,y,z'
loop_
_atom_site_label
_atom_site_fract_x
_atom_site_fract_y
_atom_site_fract_z
_atom_site_occupancy
Rb1 0.9178 0.6250 0.2500 1
Rb2 0.8322 0.1250 0.2500 1
Rb3 0.8750 0.0822 0.7500 1
Be1 0.5000 0.5000 0.0000 1
Rb4 0.3750 0.1678 0.7500 1
Be2 0.2500 0.7500 0.5000 1
Re1 0.0000 0.0000 0.0000 1
Re2 0.7500 0.2500 0.5000 1